# 1
Here is Li15Mg2Zn2 after structural relaxation from Alexandria. Energies are from PBE.

Summary:
Raw total energy ... -1.788 eV/atom
Space group ... R-3m, No. 166
D(E_F) ... 0.433 states/eV/atom

abc: 7.1671 7.1671 7.1671
angles: 79.88 79.88 79.88
Positions (direct):
1 Li 0.0000 0.0000 0.5000
2 Li 0.0000 0.2822 0.7178
3 Li 0.0000 0.5000 0.0000
4 Li 0.0000 0.7178 0.2822
5 Li 0.1433 0.6259 0.6259
6 Li 0.2822 0.0000 0.7178
7 Li 0.2822 0.7178 0.0000
8 Li 0.3741 0.3741 0.8567
9 Li 0.3741 0.8567 0.3741
10 Li 0.5000 0.0000 0.0000
11 Li 0.6259 0.1433 0.6259
12 Li 0.6259 0.6259 0.1433
13 Li 0.7178 0.0000 0.2822
14 Li 0.7178 0.2822 0.0000
15 Li 0.8567 0.3741 0.3741
16 Mg 0.3185 0.3185 0.3185
17 Mg 0.6815 0.6815 0.6815
18 Zn 0.0976 0.0976 0.0976
19 Zn 0.9024 0.9024 0.9024

# 2
Here is Li2Mg2Zn after structural relaxation from Alexandria. Energies are from PBE.

Summary:
Raw total energy ... -1.752 eV/atom
Space group ... P2_1/m, No. 11
D(E_F) ... 0.292 states/eV/atom

abc: 5.9382 4.5677 6.9811
angles: 90.00 96.58 90.00
Positions (direct):
1 Li 0.1385 0.2500 0.0350
2 Li 0.3046 0.2500 0.4358
3 Li 0.6954 0.7500 0.5642
4 Li 0.8615 0.7500 0.9650
5 Mg 0.2319 0.7500 0.7184
6 Mg 0.4393 0.7500 0.1550
7 Mg 0.5607 0.2500 0.8450
8 Mg 0.7681 0.2500 0.2816
9 Zn 0.0403 0.7500 0.3317
10 Zn 0.9597 0.2500 0.6683

# 3
Here is Li3MgZn3 after structural relaxation from Alexandria. Energies are from PBE.

Summary:
Raw total energy ... -1.606 eV/atom
Space group ... R-3, No. 148
D(E_F) ... 0.419 states/eV/atom

abc: 7.0645 7.0645 7.0645
angles: 56.93 56.93 56.93
Positions (direct):
1 Li 0.0754 0.2889 0.8258
2 Li 0.1742 0.9246 0.7111
3 Li 0.2889 0.8258 0.0754
4 Li 0.7111 0.1742 0.9246
5 Li 0.8258 0.0754 0.2889
6 Li 0.9246 0.7111 0.1742
7 Mg 0.3454 0.3454 0.3454
8 Mg 0.6546 0.6546 0.6546
9 Zn 0.0681 0.7350 0.5763
10 Zn 0.2650 0.4237 0.9319
11 Zn 0.4237 0.9319 0.2650
12 Zn 0.5763 0.0681 0.7350
13 Zn 0.7350 0.5763 0.0681
14 Zn 0.9319 0.2650 0.4237